No. 1
Compound: Pr2Nd2CI5
Source: OQMD via LeMat-Bulk
Functional: PBE
Structure: optimized geometry

Cell: 9.9288 9.9288 8.9186 Å, 102.66 102.66 23.86°
Fractional coordinates of all 10 atoms:
Pr 0.1350 0.1350 0.0680
Pr 0.8650 0.8650 0.9320
Nd 0.4990 0.4990 0.1940
Nd 0.5010 0.5010 0.8060
C 0.0000 0.0000 0.0000
I 0.0000 0.0000 0.5000
I 0.3305 0.3305 0.1825
I 0.3360 0.3360 0.6533
I 0.6640 0.6640 0.3467
I 0.6695 0.6695 0.8175

total DFT energy (no corrections) = -47.269 eV/f.u.
SG = C2/m (12)

***

No. 2
Compound: Pr2Nd2CI5
Source: OQMD via LeMat-Bulk
Functional: PBE
Structure: optimized geometry

Cell: 9.9364 9.9364 8.9244 Å, 102.58 102.58 23.89°
Fractional coordinates of all 10 atoms:
Pr 0.0011 0.0011 0.3049
Pr 0.9989 0.9989 0.6951
Nd 0.3659 0.3659 0.4324
Nd 0.6341 0.6341 0.5676
C 0.5000 0.5000 0.5000
I 0.1646 0.1646 0.8443
I 0.1704 0.1704 0.3208
I 0.5000 0.5000 0.0000
I 0.8296 0.8296 0.6792
I 0.8354 0.8354 0.1557

total DFT energy (no corrections) = -47.286 eV/f.u.
SG = C2/m (12)

***

No. 3
Compound: Nd2Sm2CI5
Source: OQMD via LeMat-Bulk
Functional: PBE
Structure: optimized geometry

Cell: 9.8911 9.8911 8.8393 Å, 102.38 102.38 23.84°
Fractional coordinates of all 10 atoms:
Nd 0.0010 0.0010 0.3056
Nd 0.9990 0.9990 0.6944
Sm 0.3681 0.3681 0.4338
Sm 0.6319 0.6319 0.5662
C 0.5000 0.5000 0.5000
I 0.1652 0.1652 0.8401
I 0.1706 0.1706 0.3249
I 0.5000 0.5000 0.0000
I 0.8294 0.8294 0.6751
I 0.8348 0.8348 0.1599

total DFT energy (no corrections) = -47.174 eV/f.u.
SG = C2/m (12)
energy above the most stable polymorph in this dataset = 0.0000 eV per atom

***

No. 4
Compound: Nd2Sm2CI5
Source: OQMD via LeMat-Bulk
Functional: PBE
Structure: optimized geometry

Cell: 9.8453 9.8453 8.8295 Å, 102.65 102.65 23.80°
Fractional coordinates of all 10 atoms:
Nd 0.1346 0.1346 0.0675
Nd 0.8654 0.8654 0.9325
Sm 0.4992 0.4992 0.1919
Sm 0.5008 0.5008 0.8081
C 0.0000 0.0000 0.0000
I 0.0000 0.0000 0.5000
I 0.3314 0.3314 0.1840
I 0.3366 0.3366 0.6530
I 0.6634 0.6634 0.3470
I 0.6686 0.6686 0.8160

total DFT energy (no corrections) = -47.135 eV/f.u.
SG = C2/m (12)
energy above the most stable polymorph in this dataset = 0.0039 eV per atom

***

No. 5
Compound: NdYCI
Source: OQMD via LeMat-Bulk
Functional: PBE
Structure: optimized geometry

Cell: 7.9331 7.9331 7.9331 Å, 27.89 27.89 27.89°
Fractional coordinates of all 4 atoms:
Nd 0.0000 0.0000 0.0000
Y 0.5527 0.5527 0.5527
C 0.2716 0.2716 0.2716
I 0.7794 0.7794 0.7794

total DFT energy (no corrections) = -24.881 eV/f.u.
SG = R3m (160)

***

No. 6
Compound: Nd2Y2CI5
Source: OQMD via LeMat-Bulk
Functional: PBE
Structure: optimized geometry

Cell: 9.7752 9.7752 8.7254 Å, 102.65 102.65 23.72°
Fractional coordinates of all 10 atoms:
Nd 0.1350 0.1350 0.0676
Nd 0.8650 0.8650 0.9324
Y 0.4995 0.4995 0.1878
Y 0.5005 0.5005 0.8122
C 0.0000 0.0000 0.0000
I 0.0000 0.0000 0.5000
I 0.3339 0.3339 0.1907
I 0.3384 0.3384 0.6490
I 0.6616 0.6616 0.3510
I 0.6661 0.6661 0.8093

total DFT energy (no corrections) = -50.513 eV/f.u.
SG = C2/m (12)
energy above the most stable polymorph in this dataset = 0.0130 eV per atom

***

No. 7
Compound: Nd2Y2CI5
Source: OQMD via LeMat-Bulk
Functional: PBE
Structure: optimized geometry

Cell: 9.9336 9.9336 8.8353 Å, 102.26 102.26 23.52°
Fractional coordinates of all 10 atoms:
Nd 0.0008 0.0008 0.3049
Nd 0.9992 0.9992 0.6951
Y 0.3726 0.3726 0.4366
Y 0.6274 0.6274 0.5634
C 0.5000 0.5000 0.5000
I 0.1658 0.1658 0.8305
I 0.1698 0.1698 0.3339
I 0.5000 0.5000 0.0000
I 0.8302 0.8302 0.6661
I 0.8342 0.8342 0.1695

total DFT energy (no corrections) = -50.643 eV/f.u.
SG = C2/m (12)
energy above the most stable polymorph in this dataset = 0.0000 eV per atom

***

No. 8
Compound: OsC3I2O3
Source: OQMD via LeMat-Bulk
Functional: PBE
Structure: optimized geometry

Cell: 6.7067 6.7067 9.7014 Å, 104.18 104.18 69.89°
Fractional coordinates of all 18 atoms:
Os 0.0674 0.0674 0.2213
Os 0.9326 0.9326 0.7787
C 0.0880 0.7217 0.6416
C 0.2390 0.2390 0.2149
C 0.2783 0.9120 0.3584
C 0.7217 0.0880 0.6416
C 0.7610 0.7610 0.7851
C 0.9120 0.2783 0.3584
I 0.1816 0.1816 0.7686
I 0.2441 0.7559 0.0000
I 0.7559 0.2441 0.0000
I 0.8184 0.8184 0.2314
O 0.1903 0.5911 0.5626
O 0.3449 0.3449 0.2173
O 0.4089 0.8097 0.4374
O 0.5911 0.1903 0.5626
O 0.6551 0.6551 0.7827
O 0.8097 0.4089 0.4374

total DFT energy (no corrections) = -62.178 eV/f.u.
SG = C2/m (12)

***

No. 9
Compound: Os3C12I2O12
Source: OQMD via LeMat-Bulk
Functional: PBE
Structure: optimized geometry

Cell: 9.0517 11.2188 12.2712 Å, 90.00 126.23 90.00°
Fractional coordinates of all 58 atoms:
Os 0.0000 0.0000 0.0000
Os 0.0000 0.5000 0.5000
Os 0.2682 0.1502 0.2277
Os 0.2682 0.3498 0.7277
Os 0.7318 0.6502 0.2723
Os 0.7318 0.8498 0.7723
C 0.0494 0.2082 0.2067
C 0.0494 0.2918 0.7067
C 0.1236 0.0312 0.9165
C 0.1236 0.4688 0.4165
C 0.1566 0.6383 0.5923
C 0.1566 0.8617 0.0923
C 0.2960 0.0193 0.3358
C 0.2960 0.4807 0.8358
C 0.4364 0.2487 0.8766
C 0.4364 0.2513 0.3766
C 0.4486 0.0919 0.2006
C 0.4486 0.4081 0.7006
C 0.5514 0.5919 0.2994
C 0.5514 0.9081 0.7994
C 0.5636 0.7487 0.6234
C 0.5636 0.7513 0.1234
C 0.7040 0.5193 0.1642
C 0.7040 0.9807 0.6642
C 0.8434 0.1383 0.9077
C 0.8434 0.3617 0.4077
C 0.8764 0.5312 0.5835
C 0.8764 0.9688 0.0835
C 0.9506 0.7083 0.2933
C 0.9506 0.7917 0.7933
I 0.2143 0.1600 0.5606
I 0.2143 0.3400 0.0606
I 0.7857 0.6600 0.9394
I 0.7857 0.8400 0.4394
O 0.0813 0.7435 0.3083
O 0.0813 0.7565 0.8083
O 0.1943 0.0481 0.8644
O 0.1943 0.4519 0.3644
O 0.2525 0.7188 0.6492
O 0.2525 0.7812 0.1492
O 0.3133 0.5591 0.9042
O 0.3133 0.9409 0.4042
O 0.4471 0.5609 0.3184
O 0.4471 0.9391 0.8184
O 0.4619 0.6889 0.5320
O 0.4619 0.8111 0.0320
O 0.5381 0.1889 0.9680
O 0.5381 0.3111 0.4680
O 0.5529 0.0609 0.1816
O 0.5529 0.4391 0.6816
O 0.6867 0.0591 0.5958
O 0.6867 0.4409 0.0958
O 0.7475 0.2188 0.8508
O 0.7475 0.2812 0.3508
O 0.8057 0.5481 0.6356
O 0.8057 0.9519 0.1356
O 0.9187 0.2435 0.1917
O 0.9187 0.2565 0.6917

total DFT energy (no corrections) = -224.833 eV/f.u.
SG = P2_1/c (14)

***

No. 10
Compound: OsC3IO3
Source: OQMD via LeMat-Bulk
Functional: PBE
Structure: optimized geometry

Cell: 6.2818 13.8401 7.1394 Å, 90.00 91.22 90.00°
Fractional coordinates of all 32 atoms:
Os 0.2480 0.1501 0.2182
Os 0.2480 0.3499 0.2182
Os 0.7520 0.6501 0.7818
Os 0.7520 0.8499 0.7818
C 0.1086 0.0281 0.2455
C 0.1086 0.4719 0.2455
C 0.3807 0.1252 0.9893
C 0.3807 0.3748 0.9893
C 0.4979 0.1176 0.3534
C 0.4979 0.3824 0.3534
C 0.5021 0.6176 0.6466
C 0.5021 0.8824 0.6466
C 0.6193 0.6252 0.0107
C 0.6193 0.8748 0.0107
C 0.8914 0.5281 0.7545
C 0.8914 0.9719 0.7545
I 0.0773 0.7500 0.9633
I 0.1041 0.2500 0.5227
I 0.8959 0.7500 0.4773
I 0.9227 0.2500 0.0367
O 0.0231 0.5461 0.2548
O 0.0231 0.9539 0.2548
O 0.3470 0.5958 0.5651
O 0.3470 0.9042 0.5651
O 0.4683 0.1084 0.8506
O 0.4683 0.3916 0.8506
O 0.5317 0.6084 0.1494
O 0.5317 0.8916 0.1494
O 0.6530 0.0958 0.4349
O 0.6530 0.4042 0.4349
O 0.9769 0.0461 0.7452
O 0.9769 0.4539 0.7452

total DFT energy (no corrections) = -60.146 eV/f.u.
SG = P2_1/m (11)

***

No. 11
Compound: PtCI2O
Source: OQMD via LeMat-Bulk
Functional: PBE
Structure: optimized geometry

Cell: 7.0929 7.0929 12.9985 Å, 106.93 106.93 79.58°
Fractional coordinates of all 20 atoms:
Pt 0.0929 0.2602 0.0802
Pt 0.2602 0.0929 0.5802
Pt 0.7398 0.9071 0.4198
Pt 0.9071 0.7398 0.9198
C 0.2877 0.4103 0.0871
C 0.4103 0.2877 0.5871
C 0.5897 0.7123 0.4129
C 0.7123 0.5897 0.9129
I 0.0384 0.4424 0.7723
I 0.0524 0.8135 0.5759
I 0.1865 0.9476 0.9241
I 0.4424 0.0384 0.2723
I 0.5576 0.9616 0.7277
I 0.8135 0.0524 0.0759
I 0.9476 0.1865 0.4241
I 0.9616 0.5576 0.2277
O 0.4098 0.5044 0.0937
O 0.4956 0.5902 0.4063
O 0.5044 0.4098 0.5937
O 0.5902 0.4956 0.9063

total DFT energy (no corrections) = -25.225 eV/f.u.
SG = C2/c (15)

***

No. 12
Compound: TcC5IO5
Source: OQMD via LeMat-Bulk
Functional: PBE
Structure: optimized geometry

Cell: 6.5449 6.5449 10.5225 Å, 90.00 90.00 110.65°
Fractional coordinates of all 24 atoms:
Tc 0.1417 0.8583 0.7500
Tc 0.8583 0.1417 0.2500
C 0.0602 0.3252 0.1181
C 0.0602 0.3252 0.3819
C 0.3213 0.6787 0.7500
C 0.3252 0.0602 0.6181
C 0.3252 0.0602 0.8819
C 0.6748 0.9398 0.1181
C 0.6748 0.9398 0.3819
C 0.6787 0.3213 0.2500
C 0.9398 0.6748 0.6181
C 0.9398 0.6748 0.8819
I 0.1204 0.8796 0.2500
I 0.8796 0.1204 0.7500
O 0.1817 0.4300 0.0441
O 0.1817 0.4300 0.4559
O 0.4289 0.5711 0.7500
O 0.4300 0.1817 0.5441
O 0.4300 0.1817 0.9559
O 0.5700 0.8183 0.0441
O 0.5700 0.8183 0.4559
O 0.5711 0.4289 0.2500
O 0.8183 0.5700 0.5441
O 0.8183 0.5700 0.9559

total DFT energy (no corrections) = -90.805 eV/f.u.
SG = Cmcm (63)

***

No. 13
Compound: Pm4C2I5
Source: OQMD via LeMat-Bulk
Functional: PBE
Structure: optimized geometry

Cell: 10.2651 10.2651 8.7774 Å, 102.70 102.70 22.62°
Fractional coordinates of all 11 atoms:
Pm 0.0000 0.0000 0.1892
Pm 0.0000 0.0000 0.8108
Pm 0.3494 0.3494 0.9202
Pm 0.6506 0.6506 0.0798
C 0.4644 0.4644 0.9822
C 0.5356 0.5356 0.0178
I 0.1610 0.1610 0.3559
I 0.1673 0.1673 0.8127
I 0.5000 0.5000 0.5000
I 0.8327 0.8327 0.1873
I 0.8390 0.8390 0.6441

total DFT energy (no corrections) = -57.085 eV/f.u.
SG = C2/m (12)

***

No. 14
Compound: Pr7C3I10
Source: OQMD via LeMat-Bulk
Functional: PBE
Structure: optimized geometry

Cell: 9.8025 11.8574 14.0527 Å, 79.46 71.36 66.17°
Fractional coordinates of all 40 atoms:
Pr 0.0417 0.2935 0.3076
Pr 0.1235 0.5712 0.3596
Pr 0.2461 0.4511 0.0790
Pr 0.3348 0.7420 0.0998
Pr 0.3671 0.2237 0.4131
Pr 0.4513 0.6158 0.8242
Pr 0.4516 0.0805 0.1658
Pr 0.5484 0.9195 0.8342
Pr 0.5487 0.3842 0.1758
Pr 0.6329 0.7763 0.5869
Pr 0.6652 0.2580 0.9002
Pr 0.7539 0.5489 0.9210
Pr 0.8765 0.4288 0.6404
Pr 0.9583 0.7065 0.6924
C 0.2562 0.3882 0.2749
C 0.3320 0.2755 0.2295
C 0.4623 0.5563 0.0226
C 0.5377 0.4437 0.9774
C 0.6680 0.7245 0.7705
C 0.7438 0.6118 0.7251
I 0.0050 0.7191 0.1692
I 0.0658 0.1573 0.5206
I 0.1032 0.5783 0.8777
I 0.1447 0.0249 0.2253
I 0.2147 0.4530 0.5694
I 0.2189 0.8919 0.9089
I 0.3143 0.7462 0.6267
I 0.3545 0.1960 0.9579
I 0.4306 0.6306 0.3036
I 0.4598 0.0633 0.6372
I 0.5402 0.9367 0.3628
I 0.5694 0.3694 0.6964
I 0.6455 0.8040 0.0421
I 0.6857 0.2538 0.3733
I 0.7811 0.1081 0.0911
I 0.7853 0.5470 0.4306
I 0.8553 0.9751 0.7747
I 0.8968 0.4217 0.1223
I 0.9342 0.8427 0.4794
I 0.9950 0.2809 0.8308

total DFT energy (no corrections) = -99.821 eV/f.u.
SG = P-1 (2)

***

No. 15
Compound: RbPr6C2I12
Source: OQMD via LeMat-Bulk
Functional: PBE
Structure: optimized geometry

Cell: 9.7601 9.7861 10.2535 Å, 70.94 72.06 72.68°
Fractional coordinates of all 21 atoms:
Rb 0.0000 0.0000 0.0000
Pr 0.2305 0.5899 0.4758
Pr 0.3917 0.5240 0.8072
Pr 0.4691 0.2286 0.5894
Pr 0.5309 0.7714 0.4106
Pr 0.6083 0.4760 0.1928
Pr 0.7695 0.4101 0.5242
C 0.4761 0.5058 0.5706
C 0.5239 0.4942 0.4294
I 0.0643 0.6488 0.7797
I 0.1332 0.2807 0.5702
I 0.2172 0.9286 0.3540
I 0.2774 0.5875 0.1431
I 0.3401 0.1983 0.9214
I 0.4296 0.8638 0.7082
I 0.5704 0.1362 0.2918
I 0.6599 0.8017 0.0786
I 0.7226 0.4125 0.8569
I 0.7828 0.0714 0.6460
I 0.8668 0.7193 0.4298
I 0.9357 0.3512 0.2203

total DFT energy (no corrections) = -93.744 eV/f.u.
SG = P-1 (2)

***

No. 16
Compound: Pr2Sc2CI5
Source: OQMD via LeMat-Bulk
Functional: PBE
Structure: optimized geometry

Cell: 9.5434 9.5434 8.6502 Å, 103.08 103.08 23.90°
Fractional coordinates of all 10 atoms:
Pr 0.1376 0.1376 0.0687
Pr 0.8624 0.8624 0.9313
Sc 0.5000 0.5000 0.1739
Sc 0.5000 0.5000 0.8261
C 0.0000 0.0000 0.0000
I 0.0000 0.0000 0.5000
I 0.3377 0.3377 0.1999
I 0.3425 0.3425 0.6442
I 0.6575 0.6575 0.3558
I 0.6623 0.6623 0.8001

total DFT energy (no corrections) = -49.256 eV/f.u.
SG = C2/m (12)
energy above the most stable polymorph in this dataset = 0.0752 eV per atom

***

Computed size of the total moment, in the same sequence as the records: 0.009 0.240 0.051 0.010 0.016 0.049 0.338 0.001 0.002 0.000 0.001 0.001 0.001 0.003 1.000 0.050 μB per formula unit.